Hf2Zn4Ag, relaxed, DFT PBE; magnetic moment = 0.00 μB per formula unit; energy = -3.45 eV per atom; space group = I4/mmm, No. 139; crystal system = tetragonal
1.0
-2.389 2.389 6.812
2.389 -2.389 6.812
2.389 2.389 -6.812
Hf Zn Ag
2 4 1
Direct
0.109 0.109 0.000
0.891 0.891 0.000
0.000 0.500 0.500
0.311 0.311 0.000
0.500 0.000 0.500
0.689 0.689 0.000
0.500 0.500 0.000